No. 1
Computed, not measured: an optimized crystal structure of BePtBr2 at the PBE level of DFT.

Unit cell a=3.818 b=3.818 c=7.618 alpha=90.27 beta=90.27 gamma=57.14
Atoms (fractional coordinates):
Pt 0.417 0.417 0.670
Be 0.731 0.731 0.566
Br 0.292 0.292 0.366
Br 0.059 0.059 0.897

Properties
The value obtained for the distance to the lowest polymorph of the same formula is 0.0 kJ/mol of atoms. The calculation puts the magnetization at 0.00 Bohr magnetons per cell. As for the energy relative to the elements, uncorrected: -279.0 meV/atom. The density is 6.5 g/cm³. The calculated volume comes out at 93.3 Å³/cell.



No. 2
Computed, not measured: an optimized crystal structure of Be2PtBr at the PBE level of DFT.

Unit cell a=3.731 b=3.731 c=6.348 alpha=107.11 beta=107.11 gamma=60.00
Atoms (fractional coordinates):
Br 0.750 0.750 0.750
Pt 0.250 0.250 0.250
Be 0.628 0.628 0.385
Be 0.872 0.872 0.115

Properties
The value obtained for the distance to the lowest polymorph of the same formula is 8.0 kJ/mol of atoms. The calculation puts the magnetization at 0.00 Bohr magnetons per cell. As for the energy relative to the elements, uncorrected: -242.4 meV/atom. The density is 6.8 g/cm³. The calculated volume comes out at 72.0 Å³/cell.